Ce3In2C (GGA-PBE, optimized geometry); DOS at the Fermi energy = 50.84 states/eV/cell; energy of formation = -0.27 eV per atom
1.0
8.281 0.000 0.000
0.000 8.281 0.000
0.000 0.000 8.281
Ce In C
12 8 4
Direct
0.038 0.125 0.788
0.125 0.788 0.038
0.212 0.538 0.375
0.288 0.462 0.875
0.375 0.212 0.538
0.462 0.875 0.288
0.538 0.375 0.212
0.625 0.712 0.962
0.712 0.962 0.625
0.788 0.038 0.125
0.875 0.288 0.462
0.962 0.625 0.712
0.071 0.929 0.429
0.179 0.179 0.179
0.321 0.821 0.679
0.429 0.071 0.929
0.571 0.571 0.571
0.679 0.321 0.821
0.821 0.679 0.321
0.929 0.429 0.071
0.125 0.375 0.625
0.375 0.625 0.125
0.625 0.125 0.375
0.875 0.875 0.875